Computed, not measured: Li4V3Ni3Sn2O16 after structural relaxation at the PBEsol level of DFT.

Cell: 10.1027 5.7526 9.6359 Å, 90.00 90.85 90.00°
Closest atoms and distances in Å follow each position.
Space group Cm (No. 8)
One atom of each set of equivalent atoms:
Li: 0.0000 0.0000 0.0000  4 O 1.82-1.99
Li: 0.0034 0.0000 0.5034  4 O 1.84-1.93
Li: 0.1584 0.5000 0.8975  4 O 1.89-2.00
Li: 0.3344 0.0000 0.4100  4 O 1.94-1.97
V: 0.0900 0.2638 0.2239  6 O 1.87-1.99
V: 0.1726 0.0000 0.7267  6 O 1.85-1.93
Ni: 0.3287 0.5000 0.2212  6 O 2.01-2.05
Ni: 0.4111 0.2443 0.7231  6 O 1.93-2.09
Sn: 0.1727 0.5000 0.5074  6 O 2.01-2.18
Sn: 0.3363 0.0000 0.9992  6 O 2.05-2.11
O: 0.0058 0.0000 0.8113  1 Li 1.82, 1 V 1.88, 2 Ni 1.94
O: 0.0100 0.0000 0.3127  1 Li 1.84, 2 V 1.93, 1 Ni 2.02
O: 0.0167 0.5000 0.3486  1 Li 1.94, 2 V 1.97
O: 0.0880 0.2376 0.6145  1 Li 1.93, 1 V 1.93, 1 Sn 2.03, 1 Ni 2.09
O: 0.1567 0.5000 0.1051  2 V 1.91, 1 Li 2.00, 1 Ni 2.05
O: 0.1641 0.0000 0.1162  1 Li 1.99, 2 V 1.99, 1 Sn 2.09
O: 0.2360 0.2698 0.3447  1 V 1.87, 1 Li 1.94, 1 Ni 2.02
O: 0.2475 0.2223 0.8503  1 Li 1.89, 1 V 1.90, 1 Ni 2.08, 1 Sn 2.11
O: 0.3192 0.0000 0.6136  1 V 1.85, 1 Li 1.97, 2 Ni 1.98
O: 0.3483 0.5000 0.6074  1 Li 1.87, 2 Ni 1.95, 1 Sn 2.01
O: 0.4270 0.2565 0.1137  1 Li 1.93, 1 V 1.95, 1 Ni 2.01, 1 Sn 2.05
O: 0.4771 0.0000 0.8427  1 Li 1.90, 2 Ni 1.93, 1 Sn 2.09

Summary:
* total magnetization: 0.25 μB/atom
* calculated total energy: -395.3 eV per cell
* energy relative to the elements, uncorrected: -1782 meV per atom